# 1
## CaBi2O5 (meta-GGA SCAN)

Data for CaBi2O5 at its PBEsol-relaxed geometry.

```
data_CaBi2O5
_space_group_name_H-M_alt 'P 1 21/c 1'
_space_group_IT_number 14
_cell_length_a 5.871
_cell_length_b 11.726
_cell_length_c 8.997
_cell_angle_alpha 90.00
_cell_angle_beta 108.65
_cell_angle_gamma 90.00
loop_
_space_group_symop_operation_xyz
'x,y,z'
'-x,-y,-z'
'-x,y+1/2,-z+1/2'
'x,-y+1/2,z+1/2'
loop_
_atom_site_label
_atom_site_fract_x
_atom_site_fract_y
_atom_site_fract_z
_atom_site_occupancy
Ca1 0.034 0.095 0.162 1
Bi1 0.384 0.619 0.058 1
Bi2 0.459 0.099 0.855 1
O1 0.205 0.543 0.190 1
O2 0.231 0.722 0.491 1
O3 0.267 0.029 0.011 1
O4 0.309 0.208 0.334 1
O5 0.354 0.533 0.849 1
```

Summary:
E_form (uncorrected): -1.457 eV/atom
DFT total energy: -209.64 eV/f.u.
Mass density: 6.09 g cm⁻³



# 2
## CaBi2O5 (meta-GGA SCAN)

Data for CaBi2O5 at its PBEsol-relaxed geometry.

```
data_CaBi2O5
_space_group_name_H-M_alt 'P b c a'
_space_group_IT_number 61
_cell_length_a 5.572
_cell_length_b 16.288
_cell_length_c 10.635
_cell_angle_alpha 90.00
_cell_angle_beta 90.00
_cell_angle_gamma 90.00
loop_
_space_group_symop_operation_xyz
'x,y,z'
'-x,-y,-z'
'-x+1/2,-y,z+1/2'
'x+1/2,y,-z+1/2'
'x+1/2,-y+1/2,-z'
'-x+1/2,y+1/2,z'
'-x,y+1/2,-z+1/2'
'x,-y+1/2,z+1/2'
loop_
_atom_site_label
_atom_site_fract_x
_atom_site_fract_y
_atom_site_fract_z
_atom_site_occupancy
Ca1 0.038 0.081 0.135 1
Bi1 0.021 0.749 0.145 1
Bi2 0.044 0.569 0.878 1
O1 0.129 0.175 0.699 1
O2 0.205 0.010 0.751 1
O3 0.221 0.031 0.490 1
O4 0.233 0.672 0.275 1
O5 0.249 0.150 0.983 1
```

Summary:
E_form (uncorrected): -1.562 eV/atom
DFT total energy: -210.47 eV/f.u.
Density of states at the Fermi level: 3.76 states/eV/cell
Mass density: 7.41 g cm⁻³



# 3
## CaBi6P4O20 (meta-GGA SCAN)

Data for CaBi6P4O20 at its PBEsol-relaxed geometry.

```
data_CaBi6P4O20
_space_group_name_H-M_alt 'P -1'
_space_group_IT_number 2
_cell_length_a 6.889
_cell_length_b 7.569
_cell_length_c 9.111
_cell_angle_alpha 106.71
_cell_angle_beta 94.40
_cell_angle_gamma 112.25
loop_
_space_group_symop_operation_xyz
'x,y,z'
'-x,-y,-z'
loop_
_atom_site_label
_atom_site_fract_x
_atom_site_fract_y
_atom_site_fract_z
_atom_site_occupancy
Ca1 0.000 0.000 0.000 1
Bi1 0.185 0.701 0.672 1
Bi2 0.335 0.135 0.508 1
Bi3 0.432 0.788 0.086 1
P1 0.053 0.269 0.759 1
P2 0.342 0.392 0.254 1
O1 0.051 0.796 0.418 1
O2 0.111 0.833 0.151 1
O3 0.125 0.243 0.274 1
O4 0.147 0.504 0.834 1
O5 0.230 0.189 0.758 1
O6 0.312 0.912 0.905 1
O7 0.343 0.316 0.078 1
O8 0.357 0.611 0.310 1
O9 0.450 0.975 0.639 1
O10 0.473 0.615 0.643 1
```

Summary:
E_form (uncorrected): -2.064 eV/atom
DFT total energy: -711.33 eV/f.u.
Density of states at the Fermi level: 0.00 states/eV/cell
Mass density: 7.01 g cm⁻³



# 4
## CaBi2P2O9 (meta-GGA SCAN)

Data for CaBi2P2O9 at its PBEsol-relaxed geometry.

```
data_CaBi2P2O9
_space_group_name_H-M_alt 'P n m a'
_space_group_IT_number 62
_cell_length_a 15.915
_cell_length_b 7.066
_cell_length_c 7.001
_cell_angle_alpha 90.00
_cell_angle_beta 90.00
_cell_angle_gamma 90.00
loop_
_space_group_symop_operation_xyz
'x,y,z'
'-x,-y,-z'
'-x+1/2,-y,z+1/2'
'x+1/2,y,-z+1/2'
'x+1/2,-y+1/2,-z+1/2'
'-x+1/2,y+1/2,z+1/2'
'-x,y+1/2,-z'
'x,-y+1/2,z'
loop_
_atom_site_label
_atom_site_fract_x
_atom_site_fract_y
_atom_site_fract_z
_atom_site_occupancy
Ca1 0.220 0.250 0.073 1
Bi1 0.000 0.000 0.000 1
Bi2 0.116 0.250 0.591 1
P1 0.083 0.750 0.589 1
P2 0.195 0.750 0.077 1
O1 0.018 0.750 0.762 1
O2 0.032 0.750 0.404 1
O3 0.082 0.250 0.892 1
O4 0.141 0.566 0.086 1
O5 0.142 0.576 0.605 1
O6 0.243 0.250 0.750 1
O7 0.248 0.250 0.399 1
```

Summary:
E_form (uncorrected): -2.258 eV/atom
DFT total energy: -275.31 eV/f.u.
Density of states at the Fermi level: 0.00 states/eV/cell
Mass density: 5.60 g cm⁻³



# 5
## CaTa2Bi2O9 (meta-GGA SCAN)

Data for CaTa2Bi2O9 at its PBEsol-relaxed geometry.

```
data_CaTa2Bi2O9
_space_group_name_H-M_alt 'C m c 21'
_space_group_IT_number 36
_cell_length_a 24.951
_cell_length_b 5.424
_cell_length_c 5.472
_cell_angle_alpha 90.00
_cell_angle_beta 90.00
_cell_angle_gamma 90.00
loop_
_space_group_symop_operation_xyz
'x,y,z'
'-x,-y,z+1/2'
'-x,y,z'
'x,-y,z+1/2'
'x+1/2,y+1/2,z'
'-x+1/2,-y+1/2,z+1/2'
'-x+1/2,y+1/2,z'
'x+1/2,-y+1/2,z+1/2'
loop_
_atom_site_label
_atom_site_fract_x
_atom_site_fract_y
_atom_site_fract_z
_atom_site_occupancy
Ca1 0.000 0.244 0.000 1
Ta1 0.082 0.253 0.537 1
Bi1 0.199 0.225 0.959 1
O1 0.000 0.330 0.571 1
O2 0.061 0.038 0.265 1
O3 0.087 0.444 0.853 1
O4 0.155 0.172 0.546 1
O5 0.249 0.491 0.729 1
```

Summary:
E_form (uncorrected): -2.533 eV/atom
DFT total energy: -391.53 eV/f.u.
Density of states at the Fermi level: 0.00 states/eV/cell
Mass density: 8.65 g cm⁻³



# 6
## Ca2TaBiO6 (meta-GGA SCAN)

Data for Ca2TaBiO6 at its PBEsol-relaxed geometry.

```
data_Ca2TaBiO6
_space_group_name_H-M_alt 'P 1 21/m 1'
_space_group_IT_number 11
_cell_length_a 5.707
_cell_length_b 8.004
_cell_length_c 5.923
_cell_angle_alpha 90.00
_cell_angle_beta 90.93
_cell_angle_gamma 90.00
loop_
_space_group_symop_operation_xyz
'x,y,z'
'-x,-y,-z'
'-x,y+1/2,-z'
'x,-y+1/2,z'
loop_
_atom_site_label
_atom_site_fract_x
_atom_site_fract_y
_atom_site_fract_z
_atom_site_occupancy
Ca1 0.001 0.250 0.445 1
Ca2 0.488 0.250 0.944 1
Ta1 0.500 0.000 0.500 1
Bi1 0.000 0.000 0.000 1
O1 0.149 0.750 0.920 1
O2 0.210 0.059 0.661 1
O3 0.344 0.058 0.211 1
O4 0.398 0.750 0.454 1
```

Summary:
E_form (uncorrected): -2.678 eV/atom
DFT total energy: -228.66 eV/f.u.
Density of states at the Fermi level: 0.00 states/eV/cell
Mass density: 6.95 g cm⁻³



# 7
## CaTa2Bi2O9 (meta-GGA SCAN)

Data for CaTa2Bi2O9 at its PBEsol-relaxed geometry.

```
data_CaTa2Bi2O9
_space_group_name_H-M_alt 'C 1 2/m 1'
_space_group_IT_number 12
_cell_length_a 25.154
_cell_length_b 3.877
_cell_length_c 3.913
_cell_angle_alpha 90.00
_cell_angle_beta 94.74
_cell_angle_gamma 90.00
loop_
_space_group_symop_operation_xyz
'x,y,z'
'-x,-y,-z'
'-x,y,-z'
'x,-y,z'
'x+1/2,y+1/2,z'
'-x+1/2,-y+1/2,-z'
'-x+1/2,y+1/2,-z'
'x+1/2,-y+1/2,z'
loop_
_atom_site_label
_atom_site_fract_x
_atom_site_fract_y
_atom_site_fract_z
_atom_site_occupancy
Ca1 0.000 0.000 0.000 1
Ta1 0.082 0.500 0.552 1
Bi1 0.200 0.000 0.260 1
O1 0.000 0.500 0.500 1
O2 0.072 0.500 0.038 1
O3 0.073 0.000 0.528 1
O4 0.158 0.500 0.568 1
O5 0.248 0.000 0.752 1
```

Summary:
E_form (uncorrected): -2.488 eV/atom
DFT total energy: -390.90 eV/f.u.
Density of states at the Fermi level: 0.00 states/eV/cell
Mass density: 8.42 g cm⁻³



# 8
## Ca2Ti5Bi4O18 (meta-GGA SCAN)

Data for Ca2Ti5Bi4O18 at its PBEsol-relaxed geometry.

```
data_Ca2Ti5Bi4O18
_space_group_name_H-M_alt 'A e a 2'
_space_group_IT_number 41
_cell_length_a 5.413
_cell_length_b 48.083
_cell_length_c 5.432
_cell_angle_alpha 90.00
_cell_angle_beta 90.00
_cell_angle_gamma 90.00
loop_
_space_group_symop_operation_xyz
'x,y,z'
'-x,-y,z'
'-x+1/2,y+1/2,z'
'x+1/2,-y+1/2,z'
'x,y+1/2,z+1/2'
'-x,-y+1/2,z+1/2'
'-x+1/2,y,z+1/2'
'x+1/2,-y,z+1/2'
loop_
_atom_site_label
_atom_site_fract_x
_atom_site_fract_y
_atom_site_fract_z
_atom_site_occupancy
Ca1 0.009 0.040 0.000 1
Ti1 0.000 0.000 0.517 1
Ti2 0.000 0.167 0.523 1
Ti3 0.004 0.422 0.019 1
Bi1 0.004 0.125 0.982 1
Bi2 0.022 0.277 0.461 1
O1 0.061 0.297 0.030 1
O2 0.066 0.119 0.563 1
O3 0.083 0.461 0.058 1
O4 0.204 0.416 0.341 1
O5 0.211 0.164 0.826 1
O6 0.214 0.072 0.262 1
O7 0.231 0.346 0.771 1
O8 0.244 0.249 0.729 1
O9 0.246 0.007 0.283 1
```

Summary:
E_form (uncorrected): -2.643 eV/atom
DFT total energy: -602.61 eV/f.u.
Density of states at the Fermi level: 0.00 states/eV/cell
Mass density: 6.78 g cm⁻³